Record 1
SnAsAuO after structural relaxation, computed with PBE.

Computed properties:
* polymorph energy (0 for the lowest one): 168.1 meV per atom
* space group: Pmc2_1

```
8
Lattice="3.813 0.000 0.000 0.000 6.783 0.000 0.000 0.000 6.792" Properties=species:S:1:pos:R:3 pbc="T T T"
Sn 0.000 1.456 0.000
Sn 0.000 5.327 3.396
As 0.000 1.157 2.715
As 0.000 5.626 6.111
Au 1.907 1.911 4.070
Au 1.907 4.873 0.674
O 1.907 2.261 6.378
O 1.907 4.522 2.982
```


Record 2
Gd3Mg3CdCu2 after structural relaxation, computed with PBE.

Computed properties:
* total magnetization: 0.0021 μB per atom
* space group: P-62m
* VASP energy: -3.19 eV/atom

```
9
Lattice="7.453 0.000 0.000 -3.727 6.455 0.000 0.000 0.000 4.281" Properties=species:S:1:pos:R:3 pbc="T T T"
Gd -1.584 2.743 0.000
Gd 3.168 0.000 0.000
Gd 2.143 3.711 0.000
Mg -2.784 4.822 2.141
Mg 0.942 1.632 2.141
Mg 5.568 0.000 2.141
Cd 0.000 0.000 0.000
Cu 0.000 4.303 2.141
Cu 3.727 2.152 2.141
```


What is the formula in the first record? SnAsAuO


Copy entry 2 word for word.
Gd3Mg3CdCu2 after structural relaxation, computed with PBE.

Computed properties:
* total magnetization: 0.0021 μB per atom
* space group: P-62m
* VASP energy: -3.19 eV/atom

```
9
Lattice="7.453 0.000 0.000 -3.727 6.455 0.000 0.000 0.000 4.281" Properties=species:S:1:pos:R:3 pbc="T T T"
Gd -1.584 2.743 0.000
Gd 3.168 0.000 0.000
Gd 2.143 3.711 0.000
Mg -2.784 4.822 2.141
Mg 0.942 1.632 2.141
Mg 5.568 0.000 2.141
Cd 0.000 0.000 0.000
Cu 0.000 4.303 2.141
Cu 3.727 2.152 2.141
```